{
  "formula": "Pr3Dy4Ho",
  "functional": "PBE-GGA",
  "state": "relaxed",
  "lattice": [[6.322, 0.000, 0.000], [0.000, 7.344, 0.000], [0.000, 0.000, 11.552]],
  "species": ["Pr", "Pr", "Pr", "Pr", "Pr", "Pr", "Dy", "Dy", "Dy", "Dy", "Dy", "Dy", "Dy", "Dy", "Ho", "Ho"],
  "frac_coords": [[0.147, 0.373, 0.500], [0.982, 0.627, 0.250], [0.647, 0.627, 0.000], [0.482, 0.373, 0.750], [0.482, 0.373, 0.250], [0.982, 0.627, 0.750], [0.148, 0.879, 0.500], [0.981, 0.122, 0.248], [0.648, 0.122, 0.500], [0.981, 0.122, 0.752], [0.148, 0.878, 0.000], [0.481, 0.878, 0.748], [0.481, 0.878, 0.252], [0.648, 0.121, 0.000], [0.146, 0.370, 0.000], [0.646, 0.630, 0.500]],
  "total_magnetization_mub_per_cell": 0.000,
  "e_above_lowest_polymorph_mev_per_atom": 0,
  "space_group": "No. 31",
  "delta_e_f_kj_per_mol_fu": 20,
  "n_ef_per_ev_cell": 28.54
}

=====

{
  "formula": "PrDy6Ho",
  "functional": "PBE-GGA",
  "state": "relaxed",
  "lattice": [[-0.787, 2.410, 4.355], [-0.121, -4.417, 2.423], [9.941, 0.547, 1.493]],
  "species": ["Dy", "Dy", "Dy", "Dy", "Dy", "Dy", "Ho", "Pr"],
  "frac_coords": [[0.500, 0.000, 0.247], [0.500, 0.000, 0.753], [0.500, 0.500, 0.500], [0.000, 0.500, 0.753], [0.000, 0.500, 0.247], [0.500, 0.500, 0.000], [0.000, 0.000, 0.000], [0.000, 0.000, 0.500]],
  "total_magnetization_mub_per_cell": 0.000,
  "e_above_lowest_polymorph_mev_per_atom": 0,
  "space_group": "No. 123",
  "delta_e_f_kj_per_mol_fu": 18,
  "n_ef_per_ev_cell": 11.90
}

=====

{
  "formula": "Pr2Dy3Ho2",
  "functional": "PBE-GGA",
  "state": "relaxed",
  "lattice": [[3.518, 0.000, 0.000], [0.000, 8.547, -0.741], [-1.759, -3.629, 8.042]],
  "species": ["Pr", "Pr", "Dy", "Dy", "Dy", "Ho", "Ho"],
  "frac_coords": [[0.567, 0.914, 0.134], [0.433, 0.086, 0.866], [0.788, 0.202, 0.577], [0.212, 0.798, 0.423], [0.000, 0.500, 0.000], [0.151, 0.337, 0.302], [0.849, 0.663, 0.698]],
  "total_magnetization_mub_per_cell": 0.000,
  "e_above_lowest_polymorph_mev_per_atom": 0,
  "space_group": "No. 12",
  "delta_e_f_kj_per_mol_fu": 85,
  "n_ef_per_ev_cell": 10.63
}

=====

{
  "formula": "Pr5Dy2Ho6",
  "functional": "PBE-GGA",
  "state": "relaxed",
  "lattice": [[-3.260, 1.507, 0.397], [-3.736, -9.552, 5.585], [5.972, 8.184, 17.992]],
  "species": ["Dy", "Dy", "Dy", "Dy", "Ho", "Ho", "Ho", "Ho", "Ho", "Ho", "Ho", "Ho", "Ho", "Ho", "Ho", "Ho", "Pr", "Pr", "Pr", "Pr", "Pr", "Pr", "Pr", "Pr", "Pr", "Pr"],
  "frac_coords": [[0.000, 0.671, 0.711], [0.000, 0.171, 0.789], [0.000, 0.829, 0.211], [0.000, 0.329, 0.289], [0.000, 0.563, 0.419], [0.500, 0.825, 0.362], [0.500, 0.675, 0.862], [0.000, 0.081, 0.368], [0.500, 0.175, 0.638], [0.000, 0.419, 0.868], [0.000, 0.063, 0.081], [0.000, 0.581, 0.132], [0.500, 0.325, 0.138], [0.000, 0.919, 0.632], [0.000, 0.937, 0.919], [0.000, 0.437, 0.581], [0.500, 0.917, 0.773], [0.500, 0.698, 0.551], [0.500, 0.500, 0.000], [0.500, 0.198, 0.949], [0.500, 0.302, 0.449], [0.500, 0.000, 0.500], [0.500, 0.083, 0.227], [0.500, 0.417, 0.727], [0.500, 0.802, 0.051], [0.500, 0.583, 0.273]],
  "total_magnetization_mub_per_cell": 0.000,
  "space_group": "No. 55",
  "delta_e_f_kj_per_mol_fu": 118,
  "n_ef_per_ev_cell": 31.22
}

=====

{
  "formula": "Pr3Dy4Ho2",
  "functional": "PBE-GGA",
  "state": "relaxed",
  "lattice": [[-4.433, -2.900, -3.248], [4.819, -3.236, 2.245], [-6.575, 7.739, 8.049]],
  "species": ["Pr", "Pr", "Pr", "Dy", "Dy", "Dy", "Dy", "Ho", "Ho"],
  "frac_coords": [[0.000, 0.000, 0.000], [0.554, 0.110, 0.667], [0.446, 0.890, 0.333], [0.110, 0.220, 0.333], [0.890, 0.780, 0.667], [0.664, 0.332, 0.000], [0.336, 0.668, 0.000], [0.221, 0.443, 0.666], [0.779, 0.557, 0.334]],
  "total_magnetization_mub_per_cell": 0.000,
  "e_above_lowest_polymorph_mev_per_atom": 0,
  "space_group": "No. 2",
  "delta_e_f_kj_per_mol_fu": 17,
  "n_ef_per_ev_cell": 11.99
}

=====

{
  "formula": "Pr2Dy2Ho3",
  "functional": "PBE-GGA",
  "state": "relaxed",
  "lattice": [[-3.404, 0.797, -0.381], [-2.042, -8.271, 0.946], [2.114, 4.774, 7.323]],
  "species": ["Ho", "Ho", "Ho", "Pr", "Pr", "Dy", "Dy"],
  "frac_coords": [[0.212, 0.799, 0.423], [0.000, 0.500, 0.000], [0.788, 0.201, 0.577], [0.568, 0.913, 0.135], [0.432, 0.087, 0.865], [0.151, 0.337, 0.302], [0.849, 0.663, 0.698]],
  "total_magnetization_mub_per_cell": 0.001,
  "e_above_lowest_polymorph_mev_per_atom": 0,
  "space_group": "No. 12",
  "delta_e_f_kj_per_mol_fu": 86,
  "n_ef_per_ev_cell": 10.74
}

=====

{
  "formula": "PrDy6Ho3",
  "functional": "PBE-GGA",
  "state": "relaxed",
  "lattice": [[0.720, 8.546, 4.749], [7.894, 1.906, 5.491], [4.649, 5.058, 0.312]],
  "species": ["Pr", "Dy", "Dy", "Dy", "Dy", "Dy", "Dy", "Ho", "Ho", "Ho"],
  "frac_coords": [[0.900, 0.900, 0.300], [0.232, 0.900, 0.300], [0.900, 0.568, 0.300], [0.400, 0.730, 0.800], [0.568, 0.232, 0.300], [0.070, 0.400, 0.800], [0.730, 0.070, 0.800], [0.400, 0.400, 0.800], [0.646, 0.646, 0.062], [0.153, 0.153, 0.540]],
  "total_magnetization_mub_per_cell": 0.003,
  "e_above_lowest_polymorph_mev_per_atom": 124,
  "space_group": "No. 155",
  "delta_e_f_kj_per_mol_fu": 265,
  "n_ef_per_ev_cell": 21.00
}

=====

{
  "formula": "Pr2Dy3Ho",
  "functional": "PBE-GGA",
  "state": "relaxed",
  "lattice": [[5.608, 0.000, 0.000], [-2.804, 8.500, -1.164], [0.000, -4.603, 8.988]],
  "species": ["Dy", "Dy", "Dy", "Dy", "Dy", "Dy", "Pr", "Pr", "Pr", "Pr", "Ho", "Ho"],
  "frac_coords": [[0.291, 0.583, 0.574], [0.048, 0.097, 0.394], [0.709, 0.417, 0.426], [0.387, 0.774, 0.344], [0.613, 0.226, 0.656], [0.952, 0.903, 0.606], [0.492, 0.983, 0.141], [0.508, 0.017, 0.859], [0.770, 0.540, 0.128], [0.230, 0.460, 0.872], [0.867, 0.734, 0.861], [0.133, 0.266, 0.139]],
  "total_magnetization_mub_per_cell": 0.000,
  "e_above_lowest_polymorph_mev_per_atom": 0,
  "space_group": "No. 12",
  "delta_e_f_kj_per_mol_fu": 57,
  "n_ef_per_ev_cell": 19.03
}

=====

For reference, energy by record: -4.6394, -4.5981, -4.5207, -4.5650, -4.6366, -4.5158, -4.3375, -4.5594 eV per atom.